# 1
# PrNd2SbN4

A relaxed structure of PrNd2SbN4 (GGA-PBE, Alexandria).

Calculated values
- crystal system = orthorhombic
- electronic total energy (eV/atom) = -7.09
- raw formation energy (eV/atom) = -0.621
- size of the total moment (μB/f.u.) = 0.0

a b c (Å): 6.335 6.335 12.393
angles (deg): 90.00 90.00 145.80
Positions (direct):
Pr 0.110 0.890 0.750
Pr 0.890 0.110 0.250
Nd 0.371 0.629 0.537
Nd 0.371 0.629 0.963
Nd 0.629 0.371 0.037
Nd 0.629 0.371 0.463
Sb 0.153 0.847 0.250
Sb 0.847 0.153 0.750
N 0.000 0.000 0.000
N 0.000 0.000 0.500
N 0.277 0.723 0.132
N 0.277 0.723 0.368
N 0.436 0.564 0.750
N 0.564 0.436 0.250
N 0.723 0.277 0.632
N 0.723 0.277 0.868

---

# 2
# MnReCl2

A relaxed structure of MnReCl2 (GGA-PBE, Alexandria).

Calculated values
- crystal system = orthorhombic
- electronic total energy (eV/atom) = -6.14
- raw formation energy (eV/atom) = 0.189
- size of the total moment (μB/f.u.) = 3.8

a b c (Å): 2.979 4.447 13.851
angles (deg): 90.00 90.00 90.00
Positions (direct):
Mn 0.000 0.000 0.000
Mn 0.500 0.500 0.500
Re 0.000 0.000 0.500
Re 0.500 0.500 0.000
Cl 0.000 0.500 0.140
Cl 0.000 0.500 0.860
Cl 0.500 0.000 0.360
Cl 0.500 0.000 0.640

---

# 3
# BiSN2O

A relaxed structure of BiSN2O (GGA-PBE, Alexandria).

Calculated values
- crystal system = tetragonal
- electronic total energy (eV/atom) = -5.05
- raw formation energy (eV/atom) = 0.878
- size of the total moment (μB/f.u.) = 0.0

a b c (Å): 3.714 3.714 4.100
angles (deg): 90.00 90.00 90.00
Positions (direct):
Bi 0.000 0.000 0.000
S 0.500 0.500 0.500
N 0.000 0.500 0.500
N 0.500 0.000 0.500
O 0.500 0.500 0.000

---

# 4
# LiPuAuCl6

A relaxed structure of LiPuAuCl6 (GGA-PBE, Alexandria).

Calculated values
- crystal system = trigonal
- electronic total energy (eV/atom) = -4.69
- raw formation energy (eV/atom) = -1.289
- size of the total moment (μB/f.u.) = 4.0

a b c (Å): 6.604 6.604 12.084
angles (deg): 90.00 90.00 120.00
Positions (direct):
Li 0.333 0.667 0.250
Li 0.667 0.333 0.750
Pu 0.333 0.667 0.750
Pu 0.667 0.333 0.250
Au 0.000 0.000 0.000
Au 0.000 0.000 0.500
Cl 0.001 0.343 0.129
Cl 0.001 0.658 0.371
Cl 0.342 0.343 0.371
Cl 0.342 0.999 0.129
Cl 0.343 0.001 0.629
Cl 0.343 0.342 0.871
Cl 0.657 0.658 0.129
Cl 0.657 0.999 0.371
Cl 0.658 0.001 0.871
Cl 0.658 0.657 0.629
Cl 0.999 0.342 0.629
Cl 0.999 0.657 0.871

---

# 5
# TcMoRh2

A relaxed structure of TcMoRh2 (GGA-PBE, Alexandria).

Calculated values
- crystal system = cubic
- electronic total energy (eV/atom) = -8.62
- size of the total moment (μB/f.u.) = 0.0

a b c (Å): 6.216 6.216 6.216
angles (deg): 90.00 90.00 90.00
Positions (direct):
Tc 0.000 0.000 0.000
Tc 0.000 0.500 0.500
Tc 0.500 0.000 0.500
Tc 0.500 0.500 0.000
Mo 0.000 0.000 0.500
Mo 0.000 0.500 0.000
Mo 0.500 0.000 0.000
Mo 0.500 0.500 0.500
Rh 0.250 0.250 0.250
Rh 0.250 0.250 0.750
Rh 0.250 0.750 0.250
Rh 0.250 0.750 0.750
Rh 0.750 0.250 0.250
Rh 0.750 0.250 0.750
Rh 0.750 0.750 0.250
Rh 0.750 0.750 0.750

---

# 6
# AcDy3Zn4

A relaxed structure of AcDy3Zn4 (GGA-PBE, Alexandria).

Calculated values
- crystal system = orthorhombic
- electronic total energy (eV/atom) = -3.16
- size of the total moment (μB/f.u.) = 0.0

a b c (Å): 10.311 7.352 5.155
angles (deg): 90.00 90.00 90.00
Positions (direct):
Ac 0.000 0.000 0.000
Ac 0.500 0.000 0.000
Dy 0.000 0.500 0.000
Dy 0.250 0.000 0.499
Dy 0.250 0.500 0.499
Dy 0.500 0.500 0.000
Dy 0.750 0.000 0.501
Dy 0.750 0.500 0.501
Zn 0.000 0.273 0.500
Zn 0.000 0.727 0.500
Zn 0.250 0.273 0.999
Zn 0.250 0.727 0.999
Zn 0.500 0.273 0.500
Zn 0.500 0.727 0.500
Zn 0.750 0.273 0.001
Zn 0.750 0.727 0.001

---

# 7
# Sr2H6RhPb

A relaxed structure of Sr2H6RhPb (GGA-PBE, Alexandria).

Calculated values
- crystal system = trigonal
- electronic total energy (eV/atom) = -3.87
- size of the total moment (μB/f.u.) = 0.0

a b c (Å): 5.094 5.094 6.836
angles (deg): 90.00 90.00 120.00
Positions (direct):
Sr 0.333 0.667 0.213
Sr 0.667 0.333 0.787
H 0.159 0.317 0.864
H 0.159 0.841 0.864
H 0.317 0.159 0.136
H 0.683 0.841 0.864
H 0.841 0.159 0.136
H 0.841 0.683 0.136
Rh 0.000 0.000 0.000
Pb 0.000 0.000 0.500

---

# 8
# Li4Tb3YSe8

A relaxed structure of Li4Tb3YSe8 (GGA-PBE, Alexandria).

Calculated values
- crystal system = trigonal
- electronic total energy (eV/atom) = -5.19
- raw formation energy (eV/atom) = -1.699
- size of the total moment (μB/f.u.) = 0.0

a b c (Å): 8.033 8.033 8.033
angles (deg): 61.10 61.10 61.10
Positions (direct):
Li 0.000 0.000 0.000
Li 0.000 0.500 0.500
Li 0.500 0.000 0.500
Li 0.500 0.500 0.000
Tb 0.000 0.000 0.500
Tb 0.000 0.500 0.000
Tb 0.500 0.000 0.000
Y 0.500 0.500 0.500
Se 0.249 0.249 0.748
Se 0.249 0.748 0.249
Se 0.251 0.251 0.251
Se 0.252 0.751 0.751
Se 0.748 0.249 0.249
Se 0.749 0.749 0.749
Se 0.751 0.252 0.751
Se 0.751 0.751 0.252